# LiV3O | Alexandria via LeMat-Bulk | PBE with a Hubbard U | optimized geometry
data_LiV3O
_chemical_formula_sum 'Li1 V3 O1'
_cell_length_a 4.337
_cell_length_b 4.337
_cell_length_c 4.337
_cell_angle_alpha 90.00
_cell_angle_beta 90.00
_cell_angle_gamma 90.00
_symmetry_space_group_name_H-M 'P m -3 m'
_symmetry_Int_Tables_number 221
_symmetry_space_group_name_Hall '-P 4 2 3'
loop_
_atom_site_label
_atom_site_type_symbol
_atom_site_fract_x
_atom_site_fract_y
_atom_site_fract_z
Li1 Li 0.000 0.000 0.000
V1 V 0.000 0.500 0.500
O1 O 0.500 0.500 0.500
# Final energy in eV per cell: -28.16
# E above lowest polymorph in meV/atom: 0
# Calculated density in Mg/m³: 3.577
# Total magnetic moment in μB per formula unit: 9.84